# PBE MgGaSnBi, optimized geometry
# energy of formation from the pure elements = 2.3 kJ/mol of atoms
# magnetization = 0.0 μB/f.u.
data_MgGaSnBi
_chemical_formula_sum 'Mg1 Ga1 Sn1 Bi1'
_space_group_name_H-M_alt 'P 1'
_space_group_IT_number 1
_cell_length_a 5.228
_cell_length_b 5.228
_cell_length_c 5.228
_cell_angle_alpha 60.00
_cell_angle_beta 60.00
_cell_angle_gamma 60.00
loop_
_space_group_symop_operation_xyz
'x,y,z'
loop_
_atom_site_label
_atom_site_type_symbol
_atom_site_fract_x
_atom_site_fract_y
_atom_site_fract_z
_atom_site_occupancy
Mg1 Mg 0.000 0.000 0.000 1
Ga1 Ga 0.500 0.500 0.500 1
Sn1 Sn 0.250 0.250 0.250 1
Bi1 Bi 0.750 0.750 0.750 1